(1)
Entry from Alexandria: Na5CdSO2 after structural relaxation (GGA-PBE).

## Properties
Magnetic moment = 0.00 μB/atom
Space-group type = P4/mmm (123)
Formation energy (no corrections) = -1.0227 eV per atom

Cell lengths 4.5589, 4.5589, 9.0239 Å; angles 90.00, 90.00, 90.00 degrees
Atoms (fractional coordinates):
Na  0.5000  0.0000  0.2807
Cd  0.0000  0.0000  0.0000
Na  0.0000  0.5000  0.7193
Na  0.5000  0.0000  0.7193
Na  0.0000  0.5000  0.2807
Na  0.0000  0.0000  0.5000
O  0.0000  0.0000  0.7637
S  0.5000  0.5000  0.5000
O  0.0000  0.0000  0.2363

=====

(2)
Entry from Alexandria: NaCa2Bi2 after structural relaxation (GGA-PBE).

## Properties
Magnetic moment = 0.00 μB/atom
Energy above the most stable polymorph in this dataset = 107.9 kJ/mol of formula units
Space-group type = I4/mmm (139)
ΔH_f (0 K) = -0.44 eV per atom

Cell lengths 5.4914, 5.4914, 7.6091 Å; angles 68.85, 68.85, 90.00 degrees
Atoms (fractional coordinates):
Bi  0.3778  0.3778  0.2444
Na  0.0000  0.0000  0.0000
Ca  0.7500  0.2500  0.5000
Bi  0.6222  0.6222  0.7556
Ca  0.2500  0.7500  0.5000

=====

(3)
Entry from Alexandria: Ga2PPb2 after structural relaxation (GGA-PBE).

## Properties
Magnetic moment = 0.00 μB/atom
Space-group type = P4/mbm (127)
ΔH_f (0 K) = 0.14 eV per atom

Cell lengths 6.6304, 6.6304, 5.4472 Å; angles 90.00, 90.00, 90.00 degrees
Atoms (fractional coordinates):
Pb  0.1876  0.6876  0.5000
Pb  0.8124  0.3124  0.5000
P  0.0000  0.0000  0.0000
Ga  0.3592  0.8592  0.0000
Ga  0.8592  0.6408  0.0000
Ga  0.6408  0.1408  0.0000
Pb  0.6876  0.8124  0.5000
Ga  0.1408  0.3592  0.0000
P  0.5000  0.5000  0.0000
Pb  0.3124  0.1876  0.5000

=====

(4)
Entry from Alexandria: Li8TeN2 after structural relaxation (GGA-PBE).

## Properties
Magnetic moment = 0.00 μB/atom
Space-group type = C2/m (12)
Formation energy (no corrections) = -0.5344 eV per atom

Cell lengths 4.0826, 6.1480, 6.1480 Å; angles 115.42, 93.17, 93.17 degrees
Atoms (fractional coordinates):
Li  0.0403  0.3441  0.0354
Li  0.9597  0.6559  0.9646
N  0.0000  0.6734  0.3266
Li  0.5000  0.7198  0.2802
Li  0.0403  0.0354  0.3441
Li  0.7715  0.4082  0.4082
Li  0.9597  0.9646  0.6559
Li  0.5000  0.2802  0.7198
Li  0.2285  0.5918  0.5918
Te  0.5000  0.0000  0.0000
N  0.0000  0.3266  0.6734

=====

(5)
Entry from Alexandria: ScZn11Pt after structural relaxation (GGA-PBE).

## Properties
Magnetic moment = 0.00 μB/atom
Space-group type = C2/m (12)
ΔH_f (0 K) = -0.23 eV per atom

Cell lengths 5.1832, 6.7776, 6.7817 Å; angles 81.25, 67.53, 66.55 degrees
Atoms (fractional coordinates):
Zn  0.4992  0.2099  0.7858
Zn  0.5000  0.0000  0.5000
Zn  0.0087  0.6498  0.3498
Pt  0.5000  0.5000  0.0000
Sc  0.0000  0.0000  0.0000
Zn  0.6415  0.3502  0.3498
Zn  0.0000  0.5000  0.0000
Zn  0.2851  0.2099  0.2142
Zn  0.5008  0.7901  0.2142
Zn  0.7149  0.7901  0.7858
Zn  0.9913  0.3502  0.6502
Zn  0.0000  0.0000  0.5000
Zn  0.3585  0.6498  0.6502

=====

(6)
Entry from Alexandria: Rb2Hg6PtAu after structural relaxation (GGA-PBE).

## Properties
Magnetic moment = 0.00 μB/atom
Space-group type = P4/mmm (123)
ΔH_f (0 K) = -0.23 eV per atom

Cell lengths 5.4640, 5.4640, 10.9313 Å; angles 90.00, 90.00, 90.00 degrees
Atoms (fractional coordinates):
Rb  0.0000  0.0000  0.7449
Hg  0.5000  0.0000  0.0000
Rb  0.0000  0.0000  0.2551
Hg  0.0000  0.5000  0.0000
Hg  0.5000  0.5000  0.7453
Hg  0.5000  0.5000  0.2547
Hg  0.0000  0.5000  0.5000
Pt  0.5000  0.5000  0.5000
Au  0.5000  0.5000  0.0000
Hg  0.5000  0.0000  0.5000

=====

(7)
Entry from Alexandria: ZrIr2Rh after structural relaxation (GGA-PBE).

## Properties
Magnetic moment = 0.00 μB/atom
Space-group type = I4/mmm (139)
ΔH_f (0 K) = -0.54 eV per atom

Cell lengths 4.8944, 4.8944, 4.8953 Å; angles 131.92, 131.92, 70.34 degrees
Atoms (fractional coordinates):
Rh  0.7500  0.2500  0.5000
Ir  0.5000  0.5000  0.0000
Ir  0.0000  0.0000  0.0000
Zr  0.2500  0.7500  0.5000

=====

(8)
Entry from Alexandria: ThScGaAg after structural relaxation (GGA-PBE).

## Properties
Magnetic moment = 0.13 μB/atom
Space-group type = F-43m (216)
ΔH_f (0 K) = -0.29 eV per atom

Cell lengths 5.0882, 5.0882, 5.0882 Å; angles 60.00, 60.00, 60.00 degrees
Each line ends with the local moment (μB).
Atoms (fractional coordinates):
Ga  0.7500  0.7500  0.7500  -0.01
Th  0.0000  0.0000  0.0000  0.10
Ag  0.2500  0.2500  0.2500  0.02
Sc  0.5000  0.5000  0.5000  0.20

=====

(9)
Entry from Alexandria: BaLiLa2 after structural relaxation (GGA-PBE).

## Properties
Magnetic moment = 0.00 μB/atom
Energy above the most stable polymorph in this dataset = 45.1 kJ/mol of formula units
Space-group type = R-3m (166)
ΔH_f (0 K) = 0.21 eV per atom

Cell lengths 12.4000, 12.4000, 12.4000 Å; angles 17.57, 17.57, 17.57 degrees
Atoms (fractional coordinates):
La  0.5101  0.5101  0.5101
Li  0.2500  0.2500  0.2500
Ba  0.7500  0.7500  0.7500
La  0.9899  0.9899  0.9899

=====

(10)
Entry from Alexandria: YScHg2 after structural relaxation (GGA-PBE).

## Properties
Magnetic moment = 0.14 μB/atom
Energy above the most stable polymorph in this dataset = 61.4 kJ/mol of formula units
Space-group type = P4mm (99)
ΔH_f (0 K) = -0.31 eV per atom

Cell lengths 3.8818, 3.8818, 6.5627 Å; angles 90.00, 90.00, 90.00 degrees
Each line ends with the local moment (μB).
Atoms (fractional coordinates):
Hg  0.5000  0.5000  0.2711  0.00
Y  0.5000  0.5000  0.7693  0.12
Hg  0.0000  0.0000  0.9963  0.00
Sc  0.0000  0.0000  0.4632  0.19

=====

(11)
Entry from Alexandria: MgPt2Se after structural relaxation (GGA-PBE).

## Properties
Magnetic moment = 0.00 μB/atom
Energy above the most stable polymorph in this dataset = 23.3 kJ/mol of formula units
Space-group type = P4/mmm (123)
Formation energy (no corrections) = -0.2829 eV per atom

Cell lengths 2.9990, 2.9990, 7.3787 Å; angles 90.00, 90.00, 90.00 degrees
Atoms (fractional coordinates):
Pt  0.0000  0.0000  0.5096
Pt  0.0000  0.0000  0.9904
Mg  0.5000  0.5000  0.7500
Se  0.5000  0.5000  0.2500

=====

(12)
Entry from Alexandria: Tb4CdPtRh2 after structural relaxation (GGA-PBE).

## Properties
Magnetic moment = 0.00 μB/atom
Space-group type = R-3m (166)
ΔH_f (0 K) = -0.78 eV per atom

Cell lengths 4.9960, 4.9960, 8.6628 Å; angles 73.24, 73.24, 60.00 degrees
Atoms (fractional coordinates):
Tb  0.8705  0.8705  0.3886
Pt  0.5000  0.5000  0.5000
Rh  0.2529  0.2529  0.2412
Tb  0.1295  0.1295  0.6114
Rh  0.7471  0.7471  0.7588
Tb  0.6198  0.6198  0.1407
Tb  0.3802  0.3802  0.8593
Cd  0.0000  0.0000  0.0000

=====

(13)
Entry from Alexandria: LiZnRe2 after structural relaxation (GGA-PBE).

## Properties
Magnetic moment = 0.00 μB/atom
Space-group type = F222 (22)
ΔH_f (0 K) = 0.10 eV per atom

Cell lengths 4.2851, 4.2851, 4.2948 Å; angles 120.20, 120.20, 89.52 degrees
Atoms (fractional coordinates):
Re  0.7500  0.2500  0.5000
Re  0.0000  0.0000  0.0000
Li  0.2500  0.7500  0.5000
Zn  0.5000  0.5000  0.0000

=====

(14)
Entry from Alexandria: La4TlHg2Pb after structural relaxation (GGA-PBE).

## Properties
Magnetic moment = 0.11 μB/atom
Space-group type = R-3m (166)
ΔH_f (0 K) = -0.51 eV per atom

Cell lengths 5.5946, 5.5946, 9.7173 Å; angles 73.27, 73.27, 60.00 degrees
Each line ends with the local moment (μB).
Atoms (fractional coordinates):
La  0.3761  0.3761  0.8716  0.08
La  0.8743  0.8743  0.3772  0.10
Hg  0.7453  0.7453  0.7642  0.01
Hg  0.2547  0.2547  0.2358  0.01
La  0.1257  0.1257  0.6228  0.10
Pb  0.5000  0.5000  0.5000  -0.01
Tl  0.0000  0.0000  0.0000  0.00
La  0.6239  0.6239  0.1284  0.08

=====

(15)
Entry from Alexandria: CrSi2Cl8 after structural relaxation (GGA-PBE).

## Properties
Magnetic moment = 0.36 μB/atom
Space-group type = C2/m (12)
Formation energy (no corrections) = -0.8460 eV per atom

Cell lengths 6.7193, 7.2144, 7.2144 Å; angles 87.35, 78.76, 78.76 degrees
Each line ends with the local moment (μB).
Atoms (fractional coordinates):
Si  0.6086  0.8803  0.8803  0.01
Cl  0.2142  0.9162  0.2682  0.01
Cl  0.2670  0.3282  0.3282  0.00
Si  0.3914  0.1197  0.1197  0.01
Cl  0.7146  0.1844  0.1844  -0.03
Cr  0.0000  0.0000  0.0000  3.58
Cl  0.2854  0.8156  0.8156  -0.03
Cl  0.2142  0.2682  0.9162  0.01
Cl  0.7858  0.7318  0.0838  0.01
Cl  0.7330  0.6718  0.6718  0.00
Cl  0.7858  0.0838  0.7318  0.01

=====

(16)
Entry from Alexandria: Tb7Ho2Pu after structural relaxation (GGA-PBE).

## Properties
Magnetic moment = 0.54 μB/atom
Space-group type = Cmmm (65)
ΔH_f (0 K) = 0.47 eV per atom

Cell lengths 3.4278, 10.1845, 10.1845 Å; angles 108.27, 90.00, 90.00 degrees
Each line ends with the local moment (μB).
Atoms (fractional coordinates):
Tb  0.0000  0.3252  0.6748  -0.12
Pu  0.0000  0.0000  0.0000  5.56
Tb  0.5000  0.1286  0.3874  -0.06
Tb  0.5000  0.5000  0.5000  -0.01
Ho  0.5000  0.1641  0.8359  0.04
Tb  0.5000  0.6126  0.8714  -0.06
Tb  0.5000  0.3874  0.1286  -0.06
Tb  0.5000  0.8714  0.6126  -0.06
Tb  0.0000  0.6748  0.3252  -0.12
Ho  0.5000  0.8359  0.1641  0.04

=====

(17)
Entry from Alexandria: Ce3ThTc3 after structural relaxation (GGA-PBE).

## Properties
Magnetic moment = 0.00 μB/atom
Space-group type = R-3 (148)
ΔH_f (0 K) = -0.05 eV per atom

Cell lengths 8.9349, 8.9349, 7.2426 Å; angles 51.92, 51.92, 60.00 degrees
Atoms (fractional coordinates):
Ce  0.8614  0.6333  0.3366
Ce  0.3667  0.8313  0.6634
Tc  0.3004  0.5414  0.2049
Tc  0.0467  0.6996  0.7951
Tc  0.6996  0.4586  0.7951
Tc  0.9533  0.3004  0.2049
Ce  0.1386  0.3667  0.6634
Ce  0.1687  0.8614  0.3366
Th  0.3325  0.3325  0.0024
Th  0.6675  0.6675  0.9976
Ce  0.8313  0.1386  0.6634
Tc  0.4586  0.0467  0.7951
Ce  0.6333  0.1687  0.3366
Tc  0.5414  0.9533  0.2049

=====

(18)
Entry from Alexandria: SmIn4Au2 after structural relaxation (GGA-PBE).

## Properties
Magnetic moment = 0.00 μB/atom
Energy above the most stable polymorph in this dataset = 0.0 kJ/mol of formula units
Space-group type = Pnma (62)
ΔH_f (0 K) = -0.41 eV per atom

Cell lengths 4.6278, 7.6238, 18.6740 Å; angles 90.00, 90.00, 90.00 degrees
Atoms (fractional coordinates):
Au  0.2500  0.9581  0.7814
In  0.7500  0.3336  0.3144
In  0.7500  0.5152  0.5662
In  0.7500  0.6322  0.9657
Au  0.2500  0.7464  0.0394
In  0.2500  0.3678  0.0343
Au  0.2500  0.7536  0.5394
In  0.7500  0.1664  0.8144
Au  0.7500  0.2464  0.4606
In  0.7500  0.8678  0.4657
Au  0.7500  0.4581  0.7186
Sm  0.2500  0.4631  0.8561
In  0.2500  0.1322  0.5343
Au  0.7500  0.0419  0.2186
Sm  0.2500  0.0369  0.3561
In  0.7500  0.7450  0.3131
In  0.2500  0.6664  0.6856
In  0.2500  0.0152  0.9338
In  0.2500  0.2450  0.1869
Au  0.7500  0.2536  0.9606
Sm  0.7500  0.9631  0.6439
In  0.2500  0.4848  0.4338
Au  0.2500  0.5419  0.2814
In  0.2500  0.2550  0.6869
In  0.7500  0.7550  0.8131
In  0.2500  0.8336  0.1856
In  0.7500  0.9848  0.0662
Sm  0.7500  0.5369  0.1439

=====

(19)
Entry from Alexandria: TbPmPu2 after structural relaxation (GGA-PBE).

## Properties
Magnetic moment = 3.22 μB/atom
Energy above the most stable polymorph in this dataset = 34.5 kJ/mol of formula units
Space-group type = Fm-3m (225)
ΔH_f (0 K) = 0.29 eV per atom

Cell lengths 5.5376, 5.5376, 5.5376 Å; angles 60.00, 60.00, 60.00 degrees
Each line ends with the local moment (μB).
Atoms (fractional coordinates):
Tb  0.5000  0.5000  0.5000  0.33
Pm  0.0000  0.0000  0.0000  0.24
Pu  0.2500  0.2500  0.2500  5.57
Pu  0.7500  0.7500  0.7500  5.57

=====

(20)
Entry from Alexandria: ZnReCl after structural relaxation (GGA-PBE).

## Properties
Magnetic moment = 0.52 μB/atom
Energy above the most stable polymorph in this dataset = 349.1 kJ/mol of formula units
Space-group type = F-43m (216)
Formation energy (no corrections) = 1.6132 eV per atom

Cell lengths 4.2021, 4.2021, 4.2021 Å; angles 60.00, 60.00, 60.00 degrees
Each line ends with the local moment (μB).
Atoms (fractional coordinates):
Zn  0.5000  0.5000  0.5000  -0.03
Re  0.0000  0.0000  0.0000  1.38
Cl  0.7500  0.7500  0.7500  0.01

=====

(21)
Entry from Alexandria: Sc2Bi2Pt after structural relaxation (GGA-PBE).

## Properties
Magnetic moment = 0.00 μB/atom
Energy above the most stable polymorph in this dataset = 42.0 kJ/mol of formula units
Space-group type = P4/mbm (127)
ΔH_f (0 K) = -0.36 eV per atom

Cell lengths 7.4799, 7.4799, 4.2842 Å; angles 90.00, 90.00, 90.00 degrees
Atoms (fractional coordinates):
Bi  0.8472  0.6528  0.0000
Sc  0.8429  0.3429  0.5000
Sc  0.6571  0.8429  0.5000
Bi  0.6528  0.1528  0.0000
Sc  0.3429  0.1571  0.5000
Pt  0.5000  0.5000  0.0000
Sc  0.1571  0.6571  0.5000
Pt  0.0000  0.0000  0.0000
Bi  0.3472  0.8472  0.0000
Bi  0.1528  0.3472  0.0000

=====

(22)
Entry from Alexandria: FeTe2W after structural relaxation (GGA-PBE).

## Properties
Magnetic moment = 0.63 μB/atom
Energy above the most stable polymorph in this dataset = 411.8 kJ/mol of formula units
Space-group type = Pmmm (47)
Formation energy (no corrections) = 1.0310 eV per atom

Cell lengths 3.3962, 5.4370, 4.3108 Å; angles 90.00, 90.00, 90.00 degrees
Each line ends with the local moment (μB).
Atoms (fractional coordinates):
Te  0.5000  0.5000  0.0000  0.01
Te  0.0000  0.0000  0.0000  0.02
Fe  0.0000  0.5000  0.5000  2.61
W  0.5000  0.0000  0.5000  -0.11

=====

(23)
Entry from Alexandria: Rb2PbCl after structural relaxation (GGA-PBE).

## Properties
Magnetic moment = 0.75 μB/atom
Energy above the most stable polymorph in this dataset = 134.8 kJ/mol of formula units
Space-group type = Fm-3m (225)
Formation energy (no corrections) = -0.5455 eV per atom

Cell lengths 6.2825, 6.2825, 6.2825 Å; angles 60.00, 60.00, 60.00 degrees
Each line ends with the local moment (μB).
Atoms (fractional coordinates):
Pb  0.5000  0.5000  0.5000  0.83
Rb  0.7500  0.7500  0.7500  0.05
Cl  0.0000  0.0000  0.0000  0.10
Rb  0.2500  0.2500  0.2500  0.05

=====

(24)
Entry from Alexandria: BeTlTc2Se after structural relaxation (GGA-PBE).

## Properties
Magnetic moment = 0.49 μB/atom
Space-group type = P4/mmm (123)
Formation energy (no corrections) = 1.0134 eV per atom

Cell lengths 4.4204, 4.4329, 4.4204 Å; angles 90.00, 90.00, 90.00 degrees
Each line ends with the local moment (μB).
Atoms (fractional coordinates):
Se  0.5000  0.5000  0.5000  0.00
Tl  0.0000  0.5000  0.0000  -0.01
Tc  0.5000  0.0000  0.0000  0.96
Be  0.0000  0.0000  0.0000  -0.03
Tc  0.0000  0.0000  0.5000  1.22